1.
## Sm2ThCuS5 (PBE)

Data for crystalline Sm2ThCuS5 at its relaxed geometry.

Output
SG: No. 36
Size of the total moment: 0.0 μB/f.u.
Final energy: -6.318 eV per atom
Formation energy (no corrections): -1.70 eV/atom

The structure in POSCAR format:
```
Sm2ThCuS5
1.0
3.848 0.000 0.000
-1.924 8.357 0.000
0.000 0.000 12.065
Th S Cu Sm
2 10 2 4
Cartesian
0.000 2.937 0.354
1.924 5.421 6.386
0.000 8.199 9.011
0.000 0.192 0.138
0.000 5.731 0.252
1.924 2.996 10.333
1.924 8.166 6.170
0.000 5.362 4.301
1.924 2.626 6.285
0.000 5.013 8.437
1.924 3.345 2.405
1.924 0.159 2.978
0.000 7.587 5.044
1.924 0.771 11.077
1.924 6.421 10.238
0.000 1.895 8.361
0.000 1.936 4.205
1.924 6.462 2.329
```

=====

2.
## Sm2TlCuS4 (PBE)

Data for crystalline Sm2TlCuS4 at its relaxed geometry.

Output
SG: No. 63
Size of the total moment: 0.0 μB/f.u.
Final energy: -5.488 eV per atom
Formation energy (no corrections): -1.44 eV/atom

The structure in POSCAR format:
```
Sm2TlCuS4
1.0
-3.543 0.870 -1.721
-1.015 -6.088 3.739
-3.605 7.483 11.205
S Sm Tl Cu
8 4 2 2
Cartesian
-1.802 3.741 5.603
0.000 0.000 0.000
-5.308 2.324 7.376
-3.072 1.495 2.354
-5.090 0.770 10.870
-1.864 -2.117 2.768
-6.298 4.381 10.455
-2.855 -0.060 5.848
-2.744 -0.615 0.610
-4.097 2.193 4.816
-4.066 0.071 8.408
-5.419 2.879 12.613
-4.866 -2.144 4.207
-3.297 4.408 9.017
-6.347 2.250 9.477
-1.816 0.014 3.747
```

=====

3.
## SmTlCuS2 (PBE)

Data for crystalline SmTlCuS2 at its relaxed geometry.

Output
SG: No. 13
Size of the total moment: 0.0 μB/f.u.
Final energy: -4.702 eV per atom
Formation energy (no corrections): -0.81 eV/atom

The structure in POSCAR format:
```
SmTlCuS2
1.0
5.735 0.000 0.000
0.000 6.200 -0.087
0.000 -1.982 7.544
Sm Tl S Cu
2 2 4 2
Cartesian
2.796 -1.486 5.658
2.939 -0.495 1.886
1.083 1.614 5.615
4.651 2.605 1.843
1.615 3.808 3.263
1.615 1.401 0.422
4.120 0.410 4.194
4.120 2.817 7.035
0.000 -0.991 3.772
0.000 0.000 0.000
```

=====

Repeat the first record exactly.
## Sm2ThCuS5 (PBE)

Data for crystalline Sm2ThCuS5 at its relaxed geometry.

Output
SG: No. 36
Size of the total moment: 0.0 μB/f.u.
Final energy: -6.318 eV per atom
Formation energy (no corrections): -1.70 eV/atom

The structure in POSCAR format:
```
Sm2ThCuS5
1.0
3.848 0.000 0.000
-1.924 8.357 0.000
0.000 0.000 12.065
Th S Cu Sm
2 10 2 4
Cartesian
0.000 2.937 0.354
1.924 5.421 6.386
0.000 8.199 9.011
0.000 0.192 0.138
0.000 5.731 0.252
1.924 2.996 10.333
1.924 8.166 6.170
0.000 5.362 4.301
1.924 2.626 6.285
0.000 5.013 8.437
1.924 3.345 2.405
1.924 0.159 2.978
0.000 7.587 5.044
1.924 0.771 11.077
1.924 6.421 10.238
0.000 1.895 8.361
0.000 1.936 4.205
1.924 6.462 2.329
```

=====

> Which of these has the lowest final energy?

Sm2ThCuS5